The following is a PBE calculation of Ca3Ga7Au4 after structural relaxation, from Alexandria.

Computed properties:
- Energy of formation: -0.54 eV/atom
- ρ: 8.16 g/cm³
- D(E_F): 12.9 states/eV/cell

Cell: 16.1277 4.4836 9.6152 Å, 90.00 125.21 90.00°
Last column: nearest neighbours and their distance in Å.
Space group C2/m (No. 12)
Symmetry-distinct sites (fractional):
Ca1 0.0000 0.0000 0.0000  6 Au 3.11-3.31, 6 Ga 3.34-3.44
Ca2 0.1974 0.5000 0.6986  10 Ga 3.15-3.44, 4 Au 3.19-3.22
Ga1 0.0000 0.0000 0.5000  2 Au 2.78, 6 Ga 2.81-2.93
Ga2 0.0020 0.5000 0.6988  3 Au 2.65-2.81, 5 Ga 2.74-2.96
Ga3 0.1445 0.0000 0.4250  3 Au 2.67-2.78, 3 Ga 2.81-2.96
Ga4 0.1712 0.5000 0.0289  4 Au 2.62-2.73, 1 Ga 2.74
Au1 0.1289 0.0000 0.8538  6 Ga 2.65-2.81
Au2 0.1569 0.5000 0.2864  5 Ga 2.62-2.78